Zn2CuTe | PBE-GGA | optimized geometry

Lattice parameters (Å, degrees): 4.770 4.770 4.571 89.85 89.85 53.62
Positions (direct):
Zn 0.565 0.565 0.252
Zn 0.935 0.935 0.248
Te 0.750 0.750 0.750
Cu 0.250 0.250 0.250

Polymorph energy (0 for the lowest one) ... 50.5 meV per atom
ΔE_f (raw) ... 0.070 eV per atom

***

CoOsRuPb2 | PBE-GGA | optimized geometry

Lattice parameters (Å, degrees): 4.865 4.865 4.356 90.00 90.00 90.00
Site moments in Bohr magnetons follow the coordinates.
Positions (direct):
Ru 0.000 0.000 0.500  0.02
Pb 0.500 0.000 0.000  -0.01
Pb 0.000 0.500 0.000  -0.01
Os 0.500 0.500 0.500  0.71
Co 0.000 0.000 0.000  -0.04

Energy of formation ... 7.57 eV per formula unit

***

LiMnCuSi | PBE-GGA | optimized geometry

Lattice parameters (Å, degrees): 4.109 4.109 4.109 60.00 60.00 60.00
Site moments in Bohr magnetons follow the coordinates.
Positions (direct):
Li 0.250 0.250 0.250  0.00
Si 0.750 0.750 0.750  -0.06
Mn 0.000 0.000 0.000  3.09
Cu 0.500 0.500 0.500  0.04

Polymorph energy (0 for the lowest one) ... 5.1 meV per atom
ΔE_f (raw) ... -0.107 eV per atom